1.
The following is a DFT calculation (PBE) of a relaxed structure of NaC3O.

Unit cell a=4.2309 b=4.2309 c=4.2309 alpha=90.00 beta=90.00 gamma=90.00
Last column: nearest neighbours and their distance in Å.
Space group Pm-3m (No. 221)
Symmetry-distinct sites (fractional):
Na (0.0000, 0.0000, 0.0000)  6 C 2.12
C (0.0000, 0.0000, 0.5000)  2 Na 2.12
O (0.5000, 0.5000, 0.5000)  12 C 2.99

## Properties
Raw total energy (eV/atom): -2.347
Magnetic moment (μB/f.u.): 0.0
Formation energy without anion corrections (meV per atom): 4443
Volume (Å³/cell): 75.74



2.
The following is a DFT calculation (PBE) of a relaxed structure of Tb2ThZn.

Unit cell a=3.5926 b=3.5926 c=30.7477 alpha=90.00 beta=90.00 gamma=120.00
Last column: nearest neighbours and their distance in Å.
Space group R-3m (No. 166, hexagonal axes)
Symmetry-distinct sites (fractional):
Tb (0.0000, 0.0000, 0.2402)  3 Zn 3.07
Th (0.0000, 0.0000, 0.0000)  6 Tb 3.53, 6 Th 3.59
Zn (0.0000, 0.0000, 0.5000)  6 Tb 3.07

## Properties
Energy of formation from the pure elements (meV/atom): -59
Raw total energy (eV/atom): -4.548
Magnetic moment (μB/f.u.): 0.0
Volume (Å³/cell): 343.68



3.
The following is a DFT calculation (PBE) of a relaxed structure of Pm2DyY2Tm4.

Unit cell a=18.5782 b=3.5780 c=9.5094 alpha=90.00 beta=115.76 gamma=90.00
Last column: nearest neighbours and their distance in Å.
Space group C2/m (No. 12)
Symmetry-distinct sites (fractional):
Pm (0.1657, 0.0000, 0.0018)  3 Tm 3.53, 2 Dy 3.55, 3 Y 3.56-3.57, 4 Pm 3.58-3.62
Dy (0.0000, 0.5000, 0.0000)  6 Tm 3.53-3.54, 4 Pm 3.55, 2 Dy 3.58
Y (0.1468, 0.5000, 0.6626)  7 Tm 3.47-3.60, 3 Pm 3.56-3.57, 2 Y 3.58
Tm (0.0194, 0.0000, 0.3343)  4 Y 3.48-3.58, 5 Tm 3.52-3.58, 2 Dy 3.53, 1 Pm 3.53
Tm (0.1851, 0.5000, 0.3369)  3 Y 3.47-3.60, 6 Tm 3.48-3.58, 2 Pm 3.53, 1 Dy 3.54

## Properties
Energy of formation from the pure elements (meV/atom): -3
Raw total energy (eV/atom): -4.993
Magnetic moment (μB/f.u.): 0.0
Volume (Å³/cell): 569.28



4.
The following is a DFT calculation (PBE) of a relaxed structure of BaNiPPd2.

Unit cell a=4.8127 b=4.8127 c=4.3938 alpha=90.00 beta=90.00 gamma=90.00
Last column: nearest neighbours and their distance in Å.
Space group P4/mmm (No. 123)
Symmetry-distinct sites (fractional):
Ba (0.0000, 0.0000, 0.0000)  8 Pd 3.26, 4 Ni 3.40
Ni (0.5000, 0.5000, 0.0000)  2 P 2.20
P (0.5000, 0.5000, 0.5000)  2 Ni 2.20, 4 Pd 2.41
Pd (0.0000, 0.5000, 0.5000)  2 P 2.41

## Properties
Energy of formation from the pure elements (meV/atom): -473
Raw total energy (eV/atom): -5.173
Magnetic moment (μB/f.u.): 0.7
Volume (Å³/cell): 101.77



5.
The following is a DFT calculation (PBE) of a relaxed structure of NdTmH.

Unit cell a=3.4241 b=3.4241 c=12.1203 alpha=90.00 beta=90.00 gamma=90.00
Last column: nearest neighbours and their distance in Å.
Space group I4mm (No. 107)
Symmetry-distinct sites (fractional):
Nd (0.0000, 0.0000, 0.0000)  4 H 2.45
Tm (0.0000, 0.0000, 0.2902)  1 H 2.19
H (0.0000, 0.0000, 0.4711)  1 Tm 2.19, 4 Nd 2.45

## Properties
Raw total energy (eV/atom): -4.305
Magnetic moment (μB/f.u.): 0.0
Volume (Å³/cell): 142.10



6.
The following is a DFT calculation (PBE) of a relaxed structure of KZr2AsO8.

Unit cell a=4.5648 b=4.5778 c=7.4766 alpha=86.95 beta=86.93 gamma=89.66
Last column: nearest neighbours and their distance in Å.
Space group P-1 (No. 2)
Symmetry-distinct sites (fractional):
K (0.0000, 0.0000, 0.0000)  6 O 2.50-2.69
Zr (0.4561, 0.4571, 0.2893)  5 O 2.01-2.24
As (0.0000, 0.0000, 0.5000)  6 O 1.87-1.88
O (0.1495, 0.7653, 0.6862)  1 As 1.87, 1 Zr 2.07
O (0.2337, 0.8495, 0.3136)  1 As 1.87, 1 Zr 2.07
O (0.2876, 0.2865, 0.5251)  1 As 1.88, 1 Zr 2.01
O (0.3827, 0.3870, 0.0114)  1 O 1.49

## Properties
Raw total energy (eV/atom): -7.239
Magnetic moment (μB/f.u.): 0.0
Formation energy without anion corrections (meV per atom): -2030
Volume (Å³/cell): 155.79



7.
The following is a DFT calculation (PBE) of a relaxed structure of FeNiIr4.

Unit cell a=7.2368 b=7.2368 c=7.2368 alpha=90.00 beta=90.00 gamma=90.00
Last column: nearest neighbours and their distance in Å.
Space group F-43m (No. 216)
Symmetry-distinct sites (fractional):
Fe (0.0000, 0.0000, 0.0000)  12 Ir 3.00, 4 Ni 3.13
Ni (0.2500, 0.2500, 0.2500)  12 Ir 3.00, 4 Fe 3.13
Ir (0.1249, 0.1249, 0.6249)  6 Ir 2.56

## Properties
Energy of formation from the pure elements (meV/atom): 577
Raw total energy (eV/atom): -7.704
Magnetic moment (μB/f.u.): 6.8
Volume (Å³/cell): 379.01



8.
The following is a DFT calculation (PBE) of a relaxed structure of TaAg2As.

Unit cell a=2.8979 b=4.7010 c=10.3680 alpha=90.00 beta=90.00 gamma=90.00
Last column: nearest neighbours and their distance in Å.
Space group Immm (No. 71)
Symmetry-distinct sites (fractional):
Ta (0.0000, 0.0000, 0.0000)  4 As 2.76, 2 Ta 2.90, 4 Ag 3.05
Ag (0.0000, 0.5000, 0.2414)  6 Ag 2.77-2.90, 2 As 2.89, 2 Ta 3.05
As (0.0000, 0.0000, 0.5000)  4 Ta 2.76, 4 Ag 2.89, 2 As 2.90

## Properties
Energy of formation from the pure elements (meV/atom): 201
Raw total energy (eV/atom): -5.350
Magnetic moment (μB/f.u.): 0.0
Volume (Å³/cell): 141.24



9.
The following is a DFT calculation (PBE) of a relaxed structure of Rb2AlZnCl6.

Unit cell a=7.1887 b=7.1887 c=10.2077 alpha=90.00 beta=90.00 gamma=90.00
Last column: nearest neighbours and their distance in Å.
Space group I4/mmm (No. 139)
Symmetry-distinct sites (fractional):
Rb (0.0000, 0.5000, 0.2500)  12 Cl 3.60-3.61
Al (0.0000, 0.0000, 0.0000)  6 Cl 2.39
Zn (0.0000, 0.0000, 0.5000)  6 Cl 2.70-2.72
Cl (0.0000, 0.0000, 0.2338)  1 Al 2.39
Cl (0.2346, 0.2346, 0.0000)  1 Al 2.39

## Properties
Raw total energy (eV/atom): -3.263
Magnetic moment (μB/f.u.): 0.0
Formation energy without anion corrections (meV per atom): -1460
Volume (Å³/cell): 527.51



10.
The following is a DFT calculation (PBE) of a relaxed structure of Ti3VTc3.

Unit cell a=8.6732 b=8.5689 c=6.1134 alpha=90.00 beta=90.07 gamma=90.00
Last column: nearest neighbours and their distance in Å.
Space group C2/m (No. 12)
Symmetry-distinct sites (fractional):
Ti (0.9998, 0.0000, 0.2481)  6 Tc 2.65-2.71
Ti (0.2498, 0.2499, 0.2475)  6 Tc 2.64-2.66
V (0.9999, 0.5000, 0.2559)  6 Tc 2.57-2.60
Tc (0.0000, 0.2512, 0.5000)  2 V 2.60, 6 Ti 2.65-2.66
Tc (0.0000, 0.2623, 0.0000)  2 V 2.57, 6 Ti 2.64-2.71
Tc (0.2454, 0.5000, 0.4999)  2 V 2.60, 6 Ti 2.64-2.69

## Properties
Energy of formation from the pure elements (meV/atom): -180
Raw total energy (eV/atom): -9.308
Magnetic moment (μB/f.u.): 0.0
Volume (Å³/cell): 454.35



11.
The following is a DFT calculation (PBE) of a relaxed structure of SnBi2C.

Unit cell a=7.2759 b=7.2759 c=7.2759 alpha=90.00 beta=90.00 gamma=90.00
Last column: nearest neighbours and their distance in Å.
Space group Fm-3m (No. 225)
Symmetry-distinct sites (fractional):
Sn (0.0000, 0.0000, 0.0000)  8 Bi 3.15
Bi (0.2500, 0.2500, 0.2500)  4 C 3.15, 4 Sn 3.15
C (0.0000, 0.0000, 0.5000)  8 Bi 3.15

## Properties
Energy of formation from the pure elements (meV/atom): 1431
Raw total energy (eV/atom): -3.816
Magnetic moment (μB/f.u.): 0.0
Volume (Å³/cell): 385.17



12.
The following is a DFT calculation (PBE) of a relaxed structure of NpBe3P3.

Unit cell a=8.6039 b=8.6039 c=3.7074 alpha=90.00 beta=90.00 gamma=120.00
Last column: nearest neighbours and their distance in Å.
Space group P6_3/m (No. 176)
Symmetry-distinct sites (fractional):
Np (0.3333, 0.6667, 0.2500)  6 P 2.86, 9 Be 2.98-3.07
Be (0.0532, 0.4040, 0.7500)  4 P 2.16-2.31
P (0.0934, 0.6908, 0.7500)  4 Be 2.16-2.31

## Properties
Energy of formation from the pure elements (meV/atom): -393
Raw total energy (eV/atom): -6.157
Magnetic moment (μB/f.u.): 4.0
Volume (Å³/cell): 237.68